{"formula": "PmHo4Th2", "functional": "GGA-PBE", "state": "relaxed", "cell": [[-2.788, 2.788, 8.305], [2.788, -2.788, 8.305], [2.788, 2.788, -8.305]], "species": ["Pm", "Ho", "Ho", "Ho", "Ho", "Th", "Th"], "fractional_positions": [[0.000, 0.000, 0.000], [0.000, 0.500, 0.500], [0.180, 0.180, 0.000], [0.500, 0.000, 0.500], [0.820, 0.820, 0.000], [0.387, 0.387, 0.000], [0.613, 0.613, 0.000]], "n_ef_per_ev_atom": 1.7353, "space_group": "I4/mmm, No. 139", "formation_energy_ev_per_atom": 0.803, "e_above_lowest_polymorph_ev_per_fu": 4.96, "magnetic_moment_mub_per_atom": 0.00}